Compound: CsRhSe2N
Source: Alexandria via LeMat-Bulk
Functional: GGA-PBE
Structure: optimized geometry

Values from the calculation:
The value obtained for the energy relative to the elements, uncorrected is 2259 meV per atom. The total energy comes out at -12.20 eV per cell.

```
data_CsRhSe2N
_chemical_formula_sum 'Cs1 Rh1 Se2 N1'
_cell_length_a 5.904
_cell_length_b 5.904
_cell_length_c 4.451
_cell_angle_alpha 90.00
_cell_angle_beta 90.00
_cell_angle_gamma 90.00
_symmetry_space_group_name_H-M 'P 4/m m m'
_symmetry_Int_Tables_number 123
_symmetry_space_group_name_Hall '-P 4 2'
loop_
_atom_site_label
_atom_site_type_symbol
_atom_site_fract_x
_atom_site_fract_y
_atom_site_fract_z
Cs1 Cs 0.000 0.000 0.000
Rh1 Rh 0.500 0.500 0.500
Se1 Se 0.000 0.500 0.000
N1 N 0.000 0.000 0.500
```